Computed, not measured: a geometry-optimized TmFe6Co6 structure at the PBE level of DFT.

For the volume, the calculation gives 12.505 Å³/atom. The uncorrected energy is -0.560 Ry/atom. The density comes out at 8.8 g cm⁻³.

The structure belongs to space group Immm (No. 71); the cell edges are 4.730, 8.267 and 8.313 Å and the angles 90.00°, 90.00° and 90.00°. The inequivalent atoms are Tm at (0.000, 0.000, 0.000), Fe at (0.000, 0.000, 0.357), Fe at (0.000, 0.357, 0.000), Fe at (0.000, 0.500, 0.280), Co at (0.000, 0.273, 0.500) and Co at (0.250, 0.250, 0.250).